# K2TlSi, optimized geometry, DFT PBE
# - Density: 3.42 g/cm³
# - DFT total energy: -2.276 eV per atom
# - ΔE_f (raw): 220 meV per atom
# - Total moment: 0.0 μB per formula unit
data_K2TlSi
_cell_length_a 3.8298
_cell_length_b 3.8298
_cell_length_c 10.2770
_cell_angle_alpha 90.00
_cell_angle_beta 90.00
_cell_angle_gamma 90.00
_symmetry_space_group_name_H-M 'P 4 m m'
_symmetry_Int_Tables_number 99
_symmetry_space_group_name_Hall 'P 4 -2'
loop_
_atom_site_label
_atom_site_type_symbol
_atom_site_fract_x
_atom_site_fract_y
_atom_site_fract_z
K1 K 0.0000 0.0000 0.0000
K2 K 0.5000 0.5000 0.4142
Tl1 Tl 0.5000 0.5000 0.7696
Si1 Si 0.0000 0.0000 0.6288

***

# Pr3ScAs4, optimized geometry, DFT PBE
# - ΔH_f (0 K): -1419 meV/atom
# - Density: 6.03 g/cm³
# - DFT total energy: -6.328 eV per atom
# - Total moment: 0.0 μB per formula unit
data_Pr3ScAs4
_cell_length_a 8.4135
_cell_length_b 11.9014
_cell_length_c 4.2207
_cell_angle_alpha 90.00
_cell_angle_beta 90.00
_cell_angle_gamma 90.00
_symmetry_space_group_name_H-M 'C m m m'
_symmetry_Int_Tables_number 65
_symmetry_space_group_name_Hall '-C 2 2'
loop_
_atom_site_label
_atom_site_type_symbol
_atom_site_fract_x
_atom_site_fract_y
_atom_site_fract_z
Pr1 Pr 0.0000 0.0000 0.0000
Pr2 Pr 0.2500 0.2500 0.5000
Sc1 Sc 0.0000 0.5000 0.0000
As1 As 0.0000 0.2586 0.0000
As2 As 0.2333 0.5000 0.5000

***

# Cs2RbInAg, optimized geometry, DFT PBE
# - ΔH_f (0 K): 71 meV/atom
# - Density: 3.23 g/cm³
# - DFT total energy: -1.582 eV per atom
# - Total moment: 0.0 μB per formula unit
data_Cs2RbInAg
_cell_length_a 7.3269
_cell_length_b 7.3269
_cell_length_c 5.4973
_cell_angle_alpha 90.00
_cell_angle_beta 90.00
_cell_angle_gamma 90.00
_symmetry_space_group_name_H-M 'P 4/m m m'
_symmetry_Int_Tables_number 123
_symmetry_space_group_name_Hall '-P 4 2'
loop_
_atom_site_label
_atom_site_type_symbol
_atom_site_fract_x
_atom_site_fract_y
_atom_site_fract_z
Cs1 Cs 0.0000 0.5000 0.0000
Rb1 Rb 0.0000 0.0000 0.5000
In1 In 0.5000 0.5000 0.5000
Ag1 Ag 0.5000 0.5000 0.0000

***

# Rb2AuS, optimized geometry, DFT PBE
# - Density: 4.45 g/cm³
# - DFT total energy: -2.896 eV per atom
# - ΔE_f (raw): -561 meV per atom
# - Total moment: 0.0 μB per formula unit
data_Rb2AuS
_cell_length_a 5.7198
_cell_length_b 5.2535
_cell_length_c 9.9354
_cell_angle_alpha 90.00
_cell_angle_beta 90.01
_cell_angle_gamma 90.00
_symmetry_space_group_name_H-M 'P 1 21/m 1'
_symmetry_Int_Tables_number 11
_symmetry_space_group_name_Hall '-P 2yb'
loop_
_atom_site_label
_atom_site_type_symbol
_atom_site_fract_x
_atom_site_fract_y
_atom_site_fract_z
Rb1 Rb 0.2494 0.2500 0.4060
Rb2 Rb 0.2498 0.7500 0.0723
Au1 Au 0.2506 0.2500 0.7501
S1 S 0.2508 0.7500 0.7504

***

# Rb3Cd9Ag2, optimized geometry, DFT PBE
# - ΔH_f (0 K): -28 meV/atom
# - Density: 5.96 g/cm³
# - DFT total energy: -1.231 eV per atom
# - Total moment: 0.0 μB per formula unit
data_Rb3Cd9Ag2
_cell_length_a 5.0256
_cell_length_b 11.2899
_cell_length_c 14.5734
_cell_angle_alpha 90.00
_cell_angle_beta 90.00
_cell_angle_gamma 90.00
_symmetry_space_group_name_H-M 'I m m m'
_symmetry_Int_Tables_number 71
_symmetry_space_group_name_Hall '-I 2 2'
loop_
_atom_site_label
_atom_site_type_symbol
_atom_site_fract_x
_atom_site_fract_y
_atom_site_fract_z
Rb1 Rb 0.0000 0.0000 0.0000
Rb2 Rb 0.0000 0.0000 0.3109
Cd1 Cd 0.0000 0.2812 0.1171
Cd2 Cd 0.0000 0.3539 0.3264
Cd3 Cd 0.0000 0.5000 0.0000
Ag1 Ag 0.0000 0.2195 0.5000

***

# CsHfS3, optimized geometry, DFT PBE
# - Density: 3.96 g/cm³
# - DFT total energy: -5.966 eV per atom
# - ΔE_f (raw): -1328 meV per atom
# - Total moment: 0.0 μB per formula unit
data_CsHfS3
_cell_length_a 6.9785
_cell_length_b 7.3064
_cell_length_c 8.3154
_cell_angle_alpha 98.34
_cell_angle_beta 106.77
_cell_angle_gamma 117.03
_symmetry_space_group_name_H-M 'P 1'
_symmetry_Int_Tables_number 1
_symmetry_space_group_name_Hall 'P 1'
loop_
_atom_site_label
_atom_site_type_symbol
_atom_site_fract_x
_atom_site_fract_y
_atom_site_fract_z
Cs1 Cs 0.0000 0.0000 0.0000
Cs2 Cs 0.4669 0.2101 0.6923
Hf1 Hf 0.6760 0.7264 0.3729
Hf2 Hf 0.9290 0.3990 0.3931
S1 S 0.3080 0.4820 0.3960
S2 S 0.4869 0.7828 0.0892
S3 S 0.5825 0.1074 0.1183
S4 S 0.8076 0.5700 0.1773
S5 S 0.8697 0.1095 0.5432
S6 S 0.9182 0.6467 0.6140

***

- The lowest density belongs to which entry?
  Cs2RbInAg